Density functional theory data (PBE-GGA) for a geometry-optimized Hg2OsAu structure.

The polymorph energy (0 for the lowest one) comes out at 0.1432 eV per atom. The total energy comes out at -3.045 eV/atom. The formation energy is 0.73 eV/atom.

It has space group Immm (No. 71), with a = 2.952 Å, b = 5.153 Å, c = 9.911 Å, α = 90.00°, β = 90.00° and γ = 90.00°. The asymmetric unit holds Hg at (0.000, 0.000, 0.242), Os at (0.000, 0.500, 0.500) and Au at (0.000, 0.500, 0.000).